Entry 1:
VASP calculation (PBE) on Zn2IrRu after structural relaxation.

POSCAR file:
```
Zn2IrRu
1.0
1.376 0.794 8.853
-1.376 0.794 8.853
0.000 -1.589 8.853
Zn Ir Ru
2 1 1
Direct
0.000 0.000 0.000 Zn
0.244 0.244 0.244 Zn
0.495 0.495 0.495 Ir
0.749 0.749 0.749 Ru
```

Computed properties:
For the formation energy, the calculation gives -13 meV per atom. The energy above the most stable polymorph in this dataset comes out at 51.8 meV/atom.



Entry 2:
VASP calculation (PBE) on V2CdFe2 after structural relaxation.

POSCAR file:
```
V2CdFe2
1.0
7.137 0.000 0.000
0.000 7.137 0.000
0.000 0.000 2.691
V Cd Fe
4 2 4
Direct
0.140 0.360 0.000 V
0.360 0.860 0.000 V
0.640 0.140 0.000 V
0.860 0.640 0.000 V
0.000 0.000 0.000 Cd
0.500 0.500 0.000 Cd
0.144 0.644 0.500 Fe
0.356 0.144 0.500 Fe
0.644 0.856 0.500 Fe
0.856 0.356 0.500 Fe
```

Computed properties:
For the formation energy, the calculation gives 225 meV per atom. The energy above the most stable polymorph in this dataset comes out at 118.2 meV/atom.



Entry 3:
VASP calculation (PBE) on GaNi2Mo after structural relaxation.

POSCAR file:
```
GaNi2Mo
1.0
2.666 0.000 0.000
0.000 3.711 0.000
0.000 0.000 5.270
Ga Ni Mo
1 2 1
Direct
0.000 0.000 0.000 Ga
0.500 0.500 0.254 Ni
0.500 0.500 0.746 Ni
0.000 0.000 0.500 Mo
```

Computed properties:
For the formation energy, the calculation gives -114 meV per atom.



Entry 4:
VASP calculation (PBE) on BaY2Te4 after structural relaxation.

POSCAR file:
```
BaY2Te4
1.0
13.816 0.000 0.000
0.000 4.492 0.000
0.000 0.000 16.318
Ba Y Te
4 8 16
Direct
0.239 0.250 0.170 Ba
0.261 0.750 0.670 Ba
0.739 0.250 0.330 Ba
0.761 0.750 0.830 Ba
0.059 0.250 0.390 Y
0.081 0.250 0.904 Y
0.419 0.750 0.404 Y
0.441 0.750 0.890 Y
0.559 0.250 0.110 Y
0.581 0.250 0.596 Y
0.919 0.750 0.096 Y
0.941 0.750 0.610 Y
0.028 0.750 0.784 Te
0.091 0.250 0.576 Te
0.127 0.750 0.029 Te
0.205 0.750 0.339 Te
0.295 0.250 0.839 Te
0.373 0.250 0.529 Te
0.409 0.750 0.076 Te
0.472 0.250 0.284 Te
0.528 0.750 0.716 Te
0.591 0.250 0.924 Te
0.627 0.750 0.471 Te
0.705 0.750 0.161 Te
0.795 0.250 0.661 Te
0.873 0.250 0.971 Te
0.909 0.750 0.424 Te
0.972 0.250 0.216 Te
```

Computed properties:
The energy above the most stable polymorph in this dataset comes out at 0.0 meV/atom. The calculation puts the uncorrected formation energy at -10.92 eV/f.u.



Entry 5:
VASP calculation (PBE) on RbGdSb2 after structural relaxation.

POSCAR file:
```
RbGdSb2
1.0
4.193 0.000 0.000
0.000 4.193 0.000
0.000 0.000 7.880
Rb Gd Sb
1 1 2
Direct
0.000 0.000 0.000 Rb
0.000 0.000 0.500 Gd
0.500 0.500 0.315 Sb
0.500 0.500 0.685 Sb
```

Computed properties:
The energy above the most stable polymorph in this dataset comes out at 0.0 meV/atom. The calculation puts the uncorrected formation energy at -2.67 eV/f.u.



Entry 6:
VASP calculation (PBE) on AcLa2Ag2Pb2 after structural relaxation.

POSCAR file:
```
AcLa2Ag2Pb2
1.0
2.514 1.451 9.479
-2.514 1.451 9.479
0.000 -2.903 9.479
Ac La Ag Pb
1 2 2 2
Direct
0.000 0.000 0.000 Ac
0.139 0.139 0.139 La
0.861 0.861 0.861 La
0.437 0.437 0.437 Ag
0.563 0.563 0.563 Ag
0.264 0.264 0.264 Pb
0.736 0.736 0.736 Pb
```

Computed properties:
For the formation energy, the calculation gives -355 meV per atom.



Entry 7:
VASP calculation (PBE) on Nd3TmTl5 after structural relaxation.

POSCAR file:
```
Nd3TmTl5
1.0
9.522 0.000 0.000
-4.761 8.247 0.000
0.000 0.000 6.685
Nd Tm Tl
6 2 10
Direct
0.000 0.372 0.250 Nd
0.000 0.628 0.750 Nd
0.372 0.000 0.250 Nd
0.372 0.372 0.750 Nd
0.628 0.000 0.750 Nd
0.628 0.628 0.250 Nd
0.000 0.000 0.000 Tm
0.000 0.000 0.500 Tm
0.000 0.291 0.750 Tl
0.000 0.709 0.250 Tl
0.291 0.000 0.750 Tl
0.291 0.291 0.250 Tl
0.333 0.667 0.000 Tl
0.333 0.667 0.500 Tl
0.667 0.333 0.000 Tl
0.667 0.333 0.500 Tl
0.709 0.000 0.250 Tl
0.709 0.709 0.750 Tl
```

Computed properties:
For the formation energy, the calculation gives -345 meV per atom.



Entry 8:
VASP calculation (PBE) on LaMg2Ni after structural relaxation.

POSCAR file:
```
LaMg2Ni
1.0
3.341 0.000 0.000
0.000 3.341 0.000
0.000 0.000 8.028
La Mg Ni
1 2 1
Direct
0.000 0.000 0.000 La
0.000 0.000 0.602 Mg
0.500 0.500 0.343 Mg
0.500 0.500 0.775 Ni
```

Computed properties:
For the formation energy, the calculation gives -119 meV per atom.



Entry 9:
VASP calculation (PBE) on SiAsCl4 after structural relaxation.

POSCAR file:
```
SiAsCl4
1.0
0.000 4.070 4.070
4.070 0.000 4.070
4.070 4.070 0.000
Si As Cl
1 1 4
Direct
0.000 0.000 0.000 Si
0.750 0.750 0.750 As
0.375 0.375 0.375 Cl
0.375 0.375 0.874 Cl
0.375 0.874 0.375 Cl
0.874 0.375 0.375 Cl
```

Computed properties:
The calculation puts the uncorrected formation energy at 5.91 eV/f.u.



Entry 10:
VASP calculation (PBE) on Ba2NaCrN4 after structural relaxation.

POSCAR file:
```
Ba2NaCrN4
1.0
5.949 0.000 0.000
0.000 7.933 0.000
0.000 0.000 6.271
Ba Na Cr N
4 2 2 8
Direct
0.250 0.005 0.227 Ba
0.250 0.495 0.227 Ba
0.750 0.505 0.773 Ba
0.750 0.995 0.773 Ba
0.250 0.250 0.752 Na
0.750 0.750 0.248 Na
0.250 0.750 0.801 Cr
0.750 0.250 0.199 Cr
0.016 0.750 0.968 N
0.250 0.563 0.653 N
0.250 0.937 0.653 N
0.484 0.750 0.968 N
0.516 0.250 0.032 N
0.750 0.063 0.347 N
0.750 0.437 0.347 N
0.984 0.250 0.032 N
```

Computed properties:
The calculation puts the uncorrected formation energy at -4.34 eV/f.u.



Entry 11:
VASP calculation (PBE) on YV2GaHg after structural relaxation.

POSCAR file:
```
YV2GaHg
1.0
5.137 0.000 0.000
0.000 5.137 0.000
0.000 0.000 4.856
Y V Ga Hg
1 2 1 1
Direct
0.000 0.000 0.000 Y
0.000 0.500 0.500 V
0.500 0.000 0.500 V
0.500 0.500 0.000 Ga
0.500 0.500 0.500 Hg
```

Computed properties:
For the formation energy, the calculation gives 981 meV per atom. The energy above the most stable polymorph in this dataset comes out at 300.8 meV/atom.



Entry 12:
VASP calculation (PBE) on PmHfPa2 after structural relaxation.

POSCAR file:
```
PmHfPa2
1.0
1.591 0.919 11.940
-1.591 0.919 11.940
0.000 -1.837 11.940
Pm Hf Pa
1 1 2
Direct
0.000 0.000 0.000 Pm
0.500 0.500 0.500 Hf
0.090 0.090 0.090 Pa
0.910 0.910 0.910 Pa
```

Computed properties:
For the formation energy, the calculation gives 272 meV per atom.



Please write out number 11 again, unchanged.
VASP calculation (PBE) on YV2GaHg after structural relaxation.

POSCAR file:
```
YV2GaHg
1.0
5.137 0.000 0.000
0.000 5.137 0.000
0.000 0.000 4.856
Y V Ga Hg
1 2 1 1
Direct
0.000 0.000 0.000 Y
0.000 0.500 0.500 V
0.500 0.000 0.500 V
0.500 0.500 0.000 Ga
0.500 0.500 0.500 Hg
```

Computed properties:
For the formation energy, the calculation gives 981 meV per atom. The energy above the most stable polymorph in this dataset comes out at 300.8 meV/atom.



> Number 12 is which compound?

PmHfPa2